A plane-wave DFT calculation with meta-GGA SCAN was carried out for a crystal of KTeMo2 relaxed with PBEsol. Values from VASP.

Calculated values
- final energy (eV/cell) = -109.99
- total moment (μB per formula unit) = 0.0

```
&SYSTEM
  ibrav = 0, nat = 4, ntyp = 3
/
ATOMIC_SPECIES
K 39.10 K.upf
Te 127.60 Te.upf
Mo 95.94 Mo.upf
CELL_PARAMETERS angstrom
4.052 0.000 0.000
0.000 4.052 0.000
0.000 0.000 4.827
ATOMIC_POSITIONS angstrom
K 0.000 0.000 0.000
Te 2.026 2.026 0.000
Mo 0.000 2.026 2.413
Mo 2.026 0.000 2.413
```